The following is a DFT calculation (GGA+U) of a relaxed Li3CrFe3O8 crystal.

Structure (CIF):
```
data_Li3CrFe3O8
_symmetry_space_group_name_H-M 'R -3 m'
_symmetry_Int_Tables_number 166
_symmetry_space_group_name_Hall '-R 3 2"'
_cell_length_a 5.9535
_cell_length_b 5.9535
_cell_length_c 14.7225
_cell_angle_alpha 90.00
_cell_angle_beta 90.00
_cell_angle_gamma 120.00
loop_
_atom_site_label
_atom_site_fract_x
_atom_site_fract_y
_atom_site_fract_z
Li1 0.0000 0.5000 0.0000
Cr1 0.0000 0.0000 0.5000
Fe1 0.0000 0.5000 0.5000
O1 0.0000 0.0000 0.2418
O2 0.0168 0.5084 0.2390
```

Results
- size of the total moment (μB/f.u.) = 17.0
- calculated density (Mg/m³) = 4.06
- V (A^3/atom) = 10.04
- calculated total energy (Ry per atom) = -0.466
- polymorph energy (0 for the lowest one) (eV per atom) = 0.000